No. 1
First-principles (PBE) data for ZrPbNOF after structural relaxation, as listed in the Open Quantum Materials Database.

Computed properties:
The calculation puts the volume at 76 Å³/f.u. The total energy comes out at -7.325 eV per atom.

abc: 4.068 4.186 4.485
angles: 90.00 90.00 90.00
Atoms (fractional coordinates):
F1 0.500 0.500 0.853
N1 0.500 0.000 0.298
O1 0.000 0.500 0.289
Pb1 0.000 0.000 0.997
Zr1 0.500 0.500 0.394


No. 2
First-principles (PBE) data for LiLuTlFe after structural relaxation, as listed in the Open Quantum Materials Database.

Computed properties:
As for the distance to the lowest polymorph of the same formula: 0.000 eV/f.u. The calculation puts the volume at 74 Å³/f.u.

abc: 4.711 4.711 4.711
angles: 60.00 60.00 60.00
Atoms (fractional coordinates):
Tl1 0.000 0.000 0.000
Lu1 0.500 0.500 0.500
Fe1 0.750 0.750 0.750
Li1 0.250 0.250 0.250


No. 3
First-principles (PBE) data for Th4In21Pd10 after structural relaxation, as listed in the Open Quantum Materials Database.

Computed properties:
The calculation puts the volume at 763 Å³/f.u. The total energy comes out at -4.450 eV per atom.

abc: 11.877 11.877 17.539
angles: 123.87 123.87 22.01
Atoms (fractional coordinates):
In1 0.012 0.012 0.592
Th1 0.770 0.770 0.671
Th2 0.879 0.879 0.170
Pd1 0.510 0.510 0.691
In2 0.801 0.801 0.498
In3 0.199 0.199 0.502
Pd2 0.656 0.656 0.386
In4 0.884 0.884 0.947
In5 0.063 0.063 0.296
In6 0.458 0.458 0.131
In7 0.988 0.988 0.408
Pd3 0.252 0.252 0.116
In8 0.401 0.401 0.507
In9 0.542 0.542 0.869
Pd4 0.976 0.976 0.889
In10 0.368 0.368 0.304
In11 0.253 0.253 0.795
Pd5 0.024 0.024 0.111
Th3 0.230 0.230 0.329
In12 0.701 0.701 0.000
In13 0.116 0.116 0.053
In14 0.599 0.599 0.493
In15 0.500 0.500 0.000
In16 0.632 0.632 0.696
Pd6 0.748 0.748 0.884
Pd7 0.344 0.344 0.614
In17 0.385 0.385 0.797
Pd8 0.490 0.490 0.309
In18 0.615 0.615 0.203
Pd9 0.141 0.141 0.607
Th4 0.121 0.121 0.830
In19 0.937 0.937 0.704
In20 0.299 0.299 0.000
Pd10 0.859 0.859 0.393
In21 0.747 0.747 0.205


No. 4
First-principles (PBE) data for GdCl3 after structural relaxation, as listed in the Open Quantum Materials Database.

Computed properties:
The calculation puts the volume at 97 Å³/f.u. The total energy comes out at -4.800 eV per atom.

abc: 7.368 4.126 7.368
angles: 90.00 119.99 90.00
Atoms (fractional coordinates):
Cl1 0.912 0.750 0.109
Cl2 0.391 0.750 0.802
Cl3 0.088 0.250 0.891
Cl4 0.698 0.750 0.588
Cl5 0.302 0.250 0.412
Gd1 0.333 0.750 0.167
Gd2 0.667 0.250 0.833
Cl6 0.609 0.250 0.198


No. 5
First-principles (PBE) data for Pr3Cu2Si4Pd2 after structural relaxation, as listed in the Open Quantum Materials Database.

Computed properties:
As for the distance to the lowest polymorph of the same formula: 0.000 eV/f.u. The calculation puts the volume at 216 Å³/f.u.

abc: 12.611 12.611 12.611
angles: 160.98 160.72 27.22
Atoms (fractional coordinates):
Pr1 0.000 0.000 0.000
Si1 0.451 0.451 0.000
Pd1 0.098 0.598 0.500
Pr2 0.348 0.848 0.500
Cu1 0.249 0.249 0.000
Cu2 0.751 0.751 0.000
Pr3 0.652 0.152 0.500
Pd2 0.902 0.402 0.500
Si2 0.549 0.549 0.000
Si3 0.802 0.302 0.500
Si4 0.198 0.698 0.500


No. 6
First-principles (PBE) data for HfBeCuBi after structural relaxation, as listed in the Open Quantum Materials Database.

Computed properties:
As for the distance to the lowest polymorph of the same formula: 0.542 eV/f.u. The calculation puts the volume at 75 Å³/f.u.

abc: 4.740 4.740 4.740
angles: 60.00 60.00 60.00
Atoms (fractional coordinates):
Cu1 0.750 0.750 0.750
Hf1 0.250 0.250 0.250
Bi1 0.000 0.000 0.000
Be1 0.500 0.500 0.500


No. 7
First-principles (PBE) data for YGaFeCo after structural relaxation, as listed in the Open Quantum Materials Database.

Computed properties:
As for the distance to the lowest polymorph of the same formula: 0.247 eV/f.u. The calculation puts the volume at 66 Å³/f.u.

abc: 4.526 4.526 4.526
angles: 60.00 60.00 60.00
Atoms (fractional coordinates):
Y1 0.250 0.250 0.250
Co1 0.750 0.750 0.750
Ga1 0.000 0.000 0.000
Fe1 0.500 0.500 0.500


No. 8
First-principles (PBE) data for Al8Ir3 after structural relaxation, as listed in the Open Quantum Materials Database.

Computed properties:
The calculation puts the volume at 172 Å³/f.u. The total energy comes out at -5.753 eV per atom.

abc: 15.643 15.643 15.643
angles: 26.80 26.80 26.80
Atoms (fractional coordinates):
Ir1 0.623 0.027 0.238
Al1 0.929 0.213 0.570
Al2 0.436 0.436 0.436
Ir2 0.711 0.711 0.711
Al3 0.244 0.842 0.531
Ir3 0.567 0.567 0.567
Ir4 0.738 0.527 0.123
Al4 0.114 0.350 0.870
Al5 0.157 0.157 0.157
Al6 0.342 0.744 0.031
Al7 0.364 0.091 0.551
Al8 0.936 0.936 0.936
Al9 0.713 0.429 0.070
Al10 0.842 0.531 0.244
Al11 0.091 0.551 0.364
Al12 0.497 0.497 0.497
Al13 0.850 0.614 0.370
Al14 0.591 0.864 0.051
Al15 0.744 0.031 0.342
Al16 0.429 0.070 0.713
Al17 0.070 0.713 0.429
Ir5 0.878 0.878 0.878
Al18 0.570 0.929 0.213
Al19 0.213 0.570 0.929
Al20 0.269 0.269 0.269
Al21 0.051 0.591 0.864
Ir6 0.067 0.067 0.067
Ir7 0.211 0.211 0.211
Ir8 0.027 0.238 0.623
Ir9 0.238 0.623 0.027
Al22 0.031 0.342 0.744
Al23 0.531 0.244 0.842
Al24 0.997 0.997 0.997
Ir10 0.378 0.378 0.378
Al25 0.870 0.114 0.350
Al26 0.370 0.850 0.614
Al27 0.350 0.870 0.114
Al28 0.769 0.769 0.769
Al29 0.551 0.364 0.091
Al30 0.614 0.370 0.850
Al31 0.657 0.657 0.657
Al32 0.864 0.051 0.591
Ir11 0.123 0.738 0.527
Ir12 0.527 0.123 0.738


No. 9
First-principles (PBE) data for Nd3Mg3TlAg2 after structural relaxation, as listed in the Open Quantum Materials Database.

Computed properties:
The calculation puts the volume at 232 Å³/f.u. The total energy comes out at -3.252 eV per atom.

abc: 7.713 7.713 4.506
angles: 90.00 90.00 120.00
Atoms (fractional coordinates):
Nd1 0.579 0.579 0.500
Tl1 0.000 0.000 0.500
Ag1 0.333 0.667 0.000
Nd2 0.000 0.421 0.500
Mg1 0.751 0.000 0.000
Mg2 0.000 0.751 0.000
Mg3 0.249 0.249 0.000
Nd3 0.421 0.000 0.500
Ag2 0.667 0.333 0.000


No. 10
First-principles (PBE) data for TlZnW4C2 after structural relaxation, as listed in the Open Quantum Materials Database.

Computed properties:
The calculation puts the volume at 115 Å³/f.u. The total energy comes out at -8.930 eV per atom.

abc: 3.097 3.097 13.825
angles: 90.00 90.00 120.00
Atoms (fractional coordinates):
W1 0.000 0.000 0.654
W2 0.667 0.333 0.178
W3 0.667 0.333 0.822
Tl1 0.000 0.000 0.000
C1 0.333 0.667 0.261
W4 0.000 0.000 0.346
C2 0.333 0.667 0.739
Zn1 0.667 0.333 0.500


No. 11
First-principles (PBE) data for Ta2BeOs after structural relaxation, as listed in the Open Quantum Materials Database.

Computed properties:
The calculation puts the volume at 60 Å³/f.u. The total energy comes out at -9.559 eV per atom.

abc: 4.405 4.405 4.405
angles: 60.00 60.00 60.00
Atoms (fractional coordinates):
Be1 0.500 0.500 0.500
Ta1 0.000 0.000 0.000
Ta2 0.750 0.750 0.750
Os1 0.250 0.250 0.250


No. 12
First-principles (PBE) data for Sr3SmPt after structural relaxation, as listed in the Open Quantum Materials Database.

Computed properties:
The calculation puts the volume at 205 Å³/f.u. The total energy comes out at -3.352 eV per atom.

abc: 8.341 8.341 8.341
angles: 120.03 90.18 119.77
Atoms (fractional coordinates):
Sr1 0.753 0.000 0.253
Sr2 0.247 0.997 0.250
Pt1 0.000 0.000 0.000
Sr3 0.753 0.003 0.750
Sm1 0.736 0.486 0.250
Sr4 0.247 0.000 0.747
Sr5 0.753 0.500 0.753
Sm2 0.264 0.514 0.750
Sr6 0.247 0.500 0.247
Pt2 0.500 0.000 0.500